# 1
## LaTmTh2 (PBE)

Data for crystalline LaTmTh2 at its relaxed geometry.

Properties
- ΔE_f (eV per atom) = 0.157
- E (eV/atom) = -5.9024

Lattice parameters (Å, degrees): 4.206 4.206 7.407 90.00 90.00 90.00
Positions (direct):
La: 0.000 0.000 0.000
Tm: 0.000 0.000 0.500
Th: 0.500 0.500 0.267
Th: 0.500 0.500 0.733

=====

# 2
## CaScI2 (PBE)

Data for crystalline CaScI2 at its relaxed geometry.

Properties
- formation energy (no corrections) (eV per atom) = -0.710
- E (eV/atom) = -3.5684

Lattice parameters (Å, degrees): 10.802 10.802 10.802 21.19 21.19 21.19
Positions (direct):
Ca: 0.000 0.000 0.000
Sc: 0.500 0.500 0.500
I: 0.107 0.107 0.107
I: 0.893 0.893 0.893

=====

| no. | offset from the most stable computed form (eV per atom) |
| --- | --- |
| 1 | 0.130 |
| 2 | 0.000 |